1.
This record from the Alexandria database describes a geometry-optimized LiCaFe structure. The functional is PBE.

Unit cell a=4.8391 b=4.8391 c=4.8391 alpha=60.00 beta=60.00 gamma=60.00
With the nearest neighbours (Å) after each atom.
Fractional positions:
Ca  0.7500  0.7500  0.7500  4 Fe 2.96, 4 Li 2.96
Fe  0.0000  0.0000  0.0000  4 Ca 2.96
Li  0.5000  0.5000  0.5000  4 Ca 2.96

Computed properties:
Energy of formation: 1.019 eV per atom
SG: F-43m (216)
Polymorph energy (0 for the lowest one): 0.766 eV/atom

2.
This record from the Alexandria database describes a geometry-optimized DySc2Tl4 structure. The functional is PBE.

Unit cell a=6.2887 b=6.2887 c=6.2887 alpha=112.11 beta=108.17 gamma=108.17
With the nearest neighbours (Å) after each atom.
Fractional positions:
Dy  0.0000  0.0000  0.0000  8 Tl 3.14
Sc  0.5000  0.5000  0.0000  8 Tl 3.14, 2 Sc 3.51
Sc  0.5000  0.0000  0.5000  8 Tl 3.14, 2 Sc 3.51
Tl  0.5000  0.0000  0.0000  4 Sc 3.14, 2 Dy 3.14, 2 Tl 3.51
Tl  0.5000  0.5000  0.5000  4 Sc 3.14, 2 Dy 3.14, 2 Tl 3.51
Tl  0.0000  0.0000  0.5000  2 Dy 3.14, 4 Sc 3.14, 2 Tl 3.51
Tl  0.0000  0.5000  0.0000  2 Dy 3.14, 4 Sc 3.14, 2 Tl 3.51

Computed properties:
Energy of formation: -0.182 eV per atom
SG: I4/mmm (139)

3.
This record from the Alexandria database describes a geometry-optimized TbYTlRu structure. The functional is PBE.

Unit cell a=5.0981 b=5.0981 c=5.0981 alpha=60.00 beta=60.00 gamma=60.00
With the nearest neighbours (Å) after each atom.
Fractional positions:
Y  0.7500  0.7500  0.7500  4 Ru 3.12, 4 Tl 3.12
Ru  0.5000  0.5000  0.5000  4 Tb 3.12, 4 Y 3.12
Tl  0.0000  0.0000  0.0000  4 Y 3.12, 4 Tb 3.12
Tb  0.2500  0.2500  0.2500  4 Tl 3.12, 4 Ru 3.12

Computed properties:
Energy of formation: -0.253 eV per atom
SG: F-43m (216)

4.
This record from the Alexandria database describes a geometry-optimized IOF structure. The functional is PBE.

Unit cell a=4.2458 b=6.2690 c=5.2901 alpha=76.08 beta=89.98 gamma=89.94
With the nearest neighbours (Å) after each atom.
Fractional positions:
I  0.8951  0.4092  0.9138  1 F 2.01, 2 O 2.04-2.05
I  0.8965  0.9092  0.4138  1 F 2.01, 2 O 2.04-2.05
O  0.6706  0.6381  0.6270  2 I 2.04-2.05
O  0.1210  0.1378  0.1270  2 I 2.04-2.05
F  0.9928  0.7160  0.1713  1 I 2.01
F  0.7988  0.2161  0.6714  1 I 2.01

Computed properties:
SG: P1 (1)
Polymorph energy (0 for the lowest one): 0.000 eV/atom
Formation energy from raw total energies: -0.585 eV/atom

5.
This record from the Alexandria database describes a geometry-optimized ScTc2Sb structure. The functional is PBE.

Unit cell a=5.4600 b=5.4600 c=5.4600 alpha=144.84 beta=132.52 gamma=60.43
With the nearest neighbours (Å) after each atom.
Fractional positions:
Sb  0.4858  0.4858  0.0000  6 Tc 2.76-2.79, 2 Sc 3.03
Sc  0.7555  0.2555  0.5000  6 Tc 2.75-2.92, 2 Sb 3.03
Tc  0.0114  0.0114  0.0000  4 Sb 2.76, 2 Tc 2.77, 2 Sc 2.92
Tc  0.2473  0.7473  0.5000  4 Sc 2.75, 2 Tc 2.77, 2 Sb 2.79

Computed properties:
SG: Imm2 (44)
Formation energy from raw total energies: -0.189 eV/atom

6.
This record from the Alexandria database describes a geometry-optimized SrMg4Rh2 structure. The functional is PBE.

Unit cell a=4.3014 b=8.3196 c=8.3196 alpha=90.00 beta=90.00 gamma=90.00
With the nearest neighbours (Å) after each atom.
Fractional positions:
Sr  0.5000  0.0000  0.0000  6 Rh 3.25-3.40, 8 Mg 3.58
Sr  0.0000  0.5000  0.5000  6 Rh 3.25-3.40, 8 Mg 3.58
Mg  0.0000  0.0874  0.3328  3 Rh 2.70-2.74, 1 Mg 2.89
Mg  0.0000  0.9126  0.6672  3 Rh 2.70-2.74, 1 Mg 2.89
Mg  0.5000  0.1672  0.5874  3 Rh 2.70-2.74, 1 Mg 2.89
Mg  0.5000  0.8328  0.4126  3 Rh 2.70-2.74, 1 Mg 2.89
Mg  0.5000  0.4126  0.8328  3 Rh 2.70-2.74, 1 Mg 2.89
Mg  0.5000  0.5874  0.1672  3 Rh 2.70-2.74, 1 Mg 2.89
Mg  0.0000  0.3328  0.0874  3 Rh 2.70-2.74, 1 Mg 2.89
Mg  0.0000  0.6672  0.9126  3 Rh 2.70-2.74, 1 Mg 2.89
Rh  0.0000  0.2241  0.7759  6 Mg 2.70-2.74
Rh  0.0000  0.7759  0.2241  6 Mg 2.70-2.74
Rh  0.5000  0.7241  0.7241  6 Mg 2.70-2.74
Rh  0.5000  0.2759  0.2759  6 Mg 2.70-2.74

Computed properties:
Energy of formation: -0.336 eV per atom
SG: P4_2/mnm (136)

Number 1: M_tot 0.9047 μB per atom, E -0.22835 Ry per atom. Number 2: M_tot 0.0805 μB per atom, E -0.29405 Ry per atom. Number 3: M_tot 0.0000 μB per atom, E -0.43635 Ry per atom. Number 4: M_tot 0.0000 μB per atom, E -0.24830 Ry per atom. Number 5: M_tot 0.0000 μB per atom, E -0.58695 Ry per atom. Number 6: M_tot 0.0000 μB per atom, E -0.26372 Ry per atom.